Record 1
The following is a PBE calculation of a geometry-optimized Pm8Ho3Mg structure, from the Alexandria database.

Summary:
- DFT formation energy: 0.55 eV per atom
- Electronic total energy: -3.898 eV/atom
- Space-group type: I-42m, No. 121

Cell lengths 8.395, 8.395, 8.395 Å; angles 93.79, 117.84, 117.84 degrees
Element x y z (fractional)
1 Pm 0.502 0.261 0.261
2 Pm 0.498 0.759 0.759
3 Pm 0.000 0.739 0.241
4 Pm 0.000 0.241 0.739
5 Pm 0.254 0.379 0.379
6 Pm 0.746 0.125 0.125
7 Pm 0.000 0.621 0.875
8 Pm 0.000 0.875 0.621
9 Ho 0.500 0.750 0.250
10 Ho 0.500 0.250 0.750
11 Ho 0.000 0.500 0.500
12 Mg 0.000 0.000 0.000



Record 2
The following is a PBE calculation of a geometry-optimized PmHoMg structure, from the Alexandria database.

Summary:
- DFT formation energy: -0.05 eV per atom
- Electronic total energy: -3.687 eV/atom
- E above lowest polymorph: 0.0 kJ per mole of atoms
- Space-group type: Cmcm, No. 63

Cell lengths 5.241, 5.226, 6.994 Å; angles 111.92, 90.00, 90.00 degrees
Element x y z (fractional)
1 Pm 0.750 0.590 0.680
2 Pm 0.250 0.410 0.320
3 Ho 0.750 0.908 0.316
4 Ho 0.250 0.092 0.684
5 Mg 0.750 0.250 0.001
6 Mg 0.250 0.750 0.999



Record 3
The following is a PBE calculation of a geometry-optimized Pm12Ho5Mg structure, from the Alexandria database.

Summary:
- DFT formation energy: 0.09 eV per atom
- Electronic total energy: -4.442 eV/atom
- Space-group type: Cmmm, No. 65

Cell lengths 11.458, 10.530, 5.880 Å; angles 89.99, 89.99, 57.04 degrees
Element x y z (fractional)
1 Pm 0.847 0.000 0.500
2 Pm 0.154 0.000 0.500
3 Pm 0.650 0.000 0.000
4 Pm 0.350 0.000 0.000
5 Pm 0.319 0.687 0.000
6 Pm 0.994 0.687 0.000
7 Pm 0.006 0.313 0.000
8 Pm 0.681 0.313 0.000
9 Pm 0.503 0.323 0.500
10 Pm 0.826 0.677 0.500
11 Pm 0.174 0.323 0.500
12 Pm 0.497 0.677 0.500
13 Ho 0.500 0.000 0.500
14 Ho 0.175 0.651 0.500
15 Ho 0.825 0.349 0.500
16 Ho 0.676 0.647 0.000
17 Ho 0.324 0.353 0.000
18 Mg 0.000 0.000 0.000



Record 4
The following is a PBE calculation of a geometry-optimized Pm2HoMg structure, from the Alexandria database.

Summary:
- DFT formation energy: 0.02 eV per atom
- Electronic total energy: -3.895 eV/atom
- E above lowest polymorph: 5.1 kJ per mole of atoms
- Space-group type: Fm-3m, No. 225

Cell lengths 5.578, 5.578, 5.578 Å; angles 60.00, 60.00, 60.00 degrees
Element x y z (fractional)
1 Mg 0.500 0.500 0.500
2 Ho 0.000 0.000 0.000
3 Pm 0.250 0.250 0.250
4 Pm 0.750 0.750 0.750



Record 5
The following is a PBE calculation of a geometry-optimized Pm3HoMg3 structure, from the Alexandria database.

Summary:
- DFT formation energy: 0.07 eV per atom
- Electronic total energy: -3.304 eV/atom
- E above lowest polymorph: 0.0 kJ per mole of atoms
- Space-group type: Cmmm, No. 65

Cell lengths 7.807, 7.807, 7.081 Å; angles 90.00, 90.00, 92.82 degrees
Element x y z (fractional)
1 Pm 0.000 0.000 0.753
2 Pm 0.500 0.000 0.253
3 Pm 0.000 0.500 0.253
4 Pm 0.500 0.000 0.747
5 Pm 0.000 0.500 0.747
6 Pm 0.000 0.000 0.247
7 Ho 0.311 0.311 0.000
8 Ho 0.689 0.689 0.000
9 Mg 0.280 0.280 0.500
10 Mg 0.318 0.682 0.500
11 Mg 0.682 0.318 0.500
12 Mg 0.257 0.743 0.000
13 Mg 0.743 0.257 0.000
14 Mg 0.720 0.720 0.500



Record 6
The following is a PBE calculation of a geometry-optimized Pm8Ho2Mg structure, from the Alexandria database.

Summary:
- DFT formation energy: 0.01 eV per atom
- Electronic total energy: -4.422 eV/atom
- E above lowest polymorph: 0.0 kJ per mole of atoms
- Space-group type: C2/m, No. 12

Cell lengths 5.098, 8.038, 9.490 Å; angles 104.82, 105.58, 90.00 degrees
Element x y z (fractional)
1 Pm 0.409 0.551 0.818
2 Pm 0.682 0.910 0.363
3 Pm 0.863 0.817 0.726
4 Pm 0.954 0.277 0.908
5 Pm 0.137 0.183 0.274
6 Pm 0.318 0.090 0.637
7 Pm 0.591 0.449 0.182
8 Pm 0.046 0.723 0.092
9 Ho 0.775 0.365 0.549
10 Ho 0.225 0.635 0.451
11 Mg 0.500 0.000 0.000